CoTeIO2: relaxed, PBE+U.

abc: 4.0381 4.0381 6.8230
angles: 90.00 90.00 90.00
Element x y z (fractional)
Co 0.0000 0.0000 0.0000
Te 0.5000 0.5000 0.5000
I 0.5000 0.5000 0.0000
O 0.0000 0.5000 0.5000
O 0.5000 0.0000 0.5000

Calculated values
**Distance to the lowest polymorph of the same formula**: 0 meV/atom
**Total moment**: 2.04 μB/f.u.
**Raw total energy**: -20.3 eV for the cell shown
**Density**: 5.16 Mg/m³